1) The following is a PBE-GGA calculation of a geometry-optimized HPbCl3 structure, from Alexandria.

Lattice parameters (Å, degrees): 5.398 5.398 5.398 90.00 90.00 90.00
Fractional coordinates of all 5 atoms:
H (0.000, 0.000, 0.000)
Pb (0.500, 0.500, 0.500)
Cl (0.000, 0.500, 0.500)
Cl (0.500, 0.000, 0.500)
Cl (0.500, 0.500, 0.000)

M_tot: 0.899 μB per cell



2) The following is a PBE-GGA calculation of a geometry-optimized HPbCl3 structure, from Alexandria.

Lattice parameters (Å, degrees): 4.576 4.576 4.576 90.00 90.00 90.00
Fractional coordinates of all 5 atoms:
H (0.000, 0.000, 0.000)
Pb (0.500, 0.500, 0.500)
Cl (0.000, 0.000, 0.500)
Cl (0.000, 0.500, 0.000)
Cl (0.500, 0.000, 0.000)

M_tot: 0.000 μB per cell



3) The following is a PBE-GGA calculation of a geometry-optimized HPbCl3 structure, from Alexandria.

Lattice parameters (Å, degrees): 5.908 7.276 7.752 73.77 82.04 76.71
Fractional coordinates of all 10 atoms:
H (0.245, 0.337, 0.208)
H (0.755, 0.663, 0.792)
Pb (0.314, 0.798, 0.464)
Pb (0.686, 0.202, 0.536)
Cl (0.108, 0.231, 0.175)
Cl (0.273, 0.090, 0.662)
Cl (0.462, 0.491, 0.267)
Cl (0.538, 0.509, 0.733)
Cl (0.727, 0.910, 0.338)
Cl (0.892, 0.769, 0.825)

M_tot: 0.000 μB per cell



Which one sits at the top of the stability order? 3) does.



1) The following is a PBE-GGA calculation of a geometry-optimized HPbS2Cl structure, from Alexandria.

Lattice parameters (Å, degrees): 4.108 4.108 6.874 90.00 90.00 90.00
Fractional coordinates of all 5 atoms:
H (0.000, 0.000, 0.000)
Pb (0.500, 0.500, 0.500)
S (0.000, 0.500, 0.000)
S (0.500, 0.000, 0.000)
Cl (0.000, 0.000, 0.500)

M_tot: 0.000 μB per cell



2) The following is a PBE-GGA calculation of a geometry-optimized HPbS2Cl structure, from Alexandria.

Lattice parameters (Å, degrees): 5.376 5.376 5.545 90.00 90.00 90.00
Fractional coordinates of all 5 atoms:
H (0.000, 0.000, 0.000)
Pb (0.500, 0.500, 0.500)
S (0.000, 0.500, 0.500)
S (0.500, 0.000, 0.500)
Cl (0.500, 0.500, 0.000)

M_tot: 2.773 μB per cell



3) The following is a PBE-GGA calculation of a geometry-optimized HPbS2Cl structure, from Alexandria.

Lattice parameters (Å, degrees): 5.395 5.395 3.907 90.00 90.00 90.00
Fractional coordinates of all 5 atoms:
H (0.000, 0.000, 0.000)
Pb (0.000, 0.000, 0.500)
S (0.000, 0.500, 0.500)
S (0.500, 0.000, 0.500)
Cl (0.500, 0.500, 0.000)

M_tot: 2.518 μB per cell



Which one sits at the top of the stability order? 1) does.



1) The following is a PBE-GGA calculation of a geometry-optimized HPd2Cl structure, from Alexandria.

Lattice parameters (Å, degrees): 4.274 4.274 4.274 60.00 60.00 60.00
Fractional coordinates of all 4 atoms:
H (0.000, 0.000, 0.000)
Pd (0.250, 0.250, 0.250)
Pd (0.750, 0.750, 0.750)
Cl (0.500, 0.500, 0.500)

M_tot: 0.000 μB per cell



2) The following is a PBE-GGA calculation of a geometry-optimized HPd2Cl structure, from Alexandria.

Lattice parameters (Å, degrees): 5.833 5.833 5.833 128.75 128.75 75.41
Fractional coordinates of all 8 atoms:
H (0.000, 0.000, 0.000)
H (0.750, 0.250, 0.500)
Pd (0.016, 0.625, 0.891)
Pd (0.375, 0.266, 0.391)
Pd (0.734, 0.125, 0.109)
Pd (0.875, 0.984, 0.609)
Cl (0.250, 0.750, 0.500)
Cl (0.500, 0.500, 0.000)

M_tot: 0.000 μB per cell



Which one sits at the top of the stability order? 2) does.